DFT (GGA-PBE) results for an optimized crystal structure of Li3BF6.

Output
**Total magnetization**: 0.000 μB/f.u.
**D(E_F)**: 0.000 states/eV/atom
**Raw formation energy**: -2.907 eV/atom

```
Li3BF6
1.0
3.945 -5.064 0.000
3.945 5.064 0.000
0.000 0.000 5.505
Li B F
6 2 12
Cartesian
3.945 4.611 2.752
2.256 0.849 2.759
2.256 -0.849 0.007
5.633 0.849 2.759
5.633 -0.849 0.007
3.945 -4.611 0.000
3.945 1.882 0.511
3.945 -1.882 3.264
2.787 2.487 0.005
1.334 0.003 1.381
1.334 -0.003 4.133
3.945 1.972 1.956
5.102 2.487 0.005
3.945 0.499 0.163
3.945 -0.499 2.915
2.787 -2.487 2.757
3.945 -1.972 4.708
6.555 0.003 1.381
6.555 -0.003 4.133
5.102 -2.487 2.757
```